Record 1
Below is a relaxed structure of Cu4NiSb, with properties calculated at the PBE-GGA level.

```
6
Lattice="0.0000 3.4520 3.4520 3.4520 0.0000 3.4520 3.4520 3.4520 0.0000" Properties=species:S:1:pos:R:3 pbc="T T T"
Cu 0.8578 0.8578 0.8578
Cu 2.5942 2.5942 0.8578
Cu 2.5942 0.8578 2.5942
Cu 0.8578 2.5942 2.5942
Ni 5.1781 5.1781 5.1781
Sb 3.4520 3.4520 3.4520
```

Values from the calculation:
- Formation energy without anion corrections: 115 meV per atom

=====

Record 2
Below is a relaxed structure of LiAc2Pt, with properties calculated at the PBE-GGA level.

```
4
Lattice="2.2199 1.2816 8.5188 -2.2199 1.2816 8.5188 0.0000 -2.5633 8.5188" Properties=species:S:1:pos:R:3 pbc="T T T"
Li 0.0000 0.0000 0.0000
Ac 0.0000 0.0000 5.9223
Ac 0.0000 0.0000 11.1745
Pt 0.0000 0.0000 21.3449
```

=====

Record 3
Below is a relaxed structure of Na2LaPm3Se6, with properties calculated at the PBE-GGA level.

```
12
Lattice="3.6468 -6.3130 0.0000 3.6468 6.3130 0.0000 -2.4267 0.0000 7.0301" Properties=species:S:1:pos:R:3 pbc="T T T"
Na 3.6468 4.2141 0.0000
Na 3.6468 -4.2141 0.0000
La 3.6468 0.0000 0.0000
Pm -1.2133 0.0000 3.5150
Pm 2.4334 2.1205 3.5150
Pm 2.4334 -2.1205 3.5150
Se 0.0006 2.1089 5.2406
Se 1.2144 0.0000 1.8040
Se 0.0006 -2.1089 5.2406
Se 4.8663 2.1089 1.7895
Se 3.6524 0.0000 5.2261
Se 4.8663 -2.1089 1.7895
```

Values from the calculation:
- Formation energy without anion corrections: -1767 meV per atom

=====

Record 4
Below is a relaxed structure of SnBi2HPd, with properties calculated at the PBE-GGA level.

```
5
Lattice="5.7279 0.0000 0.0000 0.0000 5.7279 0.0000 0.0000 0.0000 3.4468" Properties=species:S:1:pos:R:3 pbc="T T T"
Sn 0.0000 0.0000 0.0000
Bi 0.0000 2.8640 1.7234
Bi 2.8640 0.0000 1.7234
H 2.8640 2.8640 0.0000
Pd 2.8640 2.8640 1.7234
```

=====

Record 5
Below is a relaxed structure of Y2P2Se, with properties calculated at the PBE-GGA level.

```
5
Lattice="-1.8644 1.8644 7.5803 1.8644 -1.8644 7.5803 1.8644 1.8644 -7.5803" Properties=species:S:1:pos:R:3 pbc="T T T"
Y 0.0000 0.0000 1.7208
Y 0.0000 0.0000 13.4399
P 1.8644 0.0000 3.7902
P 0.0000 1.8644 3.7902
Se 0.0000 0.0000 7.5803
```

Values from the calculation:
- Formation energy without anion corrections: -1173 meV per atom
- Energy above the lowest structure with this stoichiometry: 91 meV/atom

=====

Record 6
Below is a relaxed structure of ZrBeAu3, with properties calculated at the PBE-GGA level.

```
5
Lattice="4.4676 0.0000 0.0000 0.0000 4.4676 0.0000 0.0000 0.0000 4.4676" Properties=species:S:1:pos:R:3 pbc="T T T"
Zr 0.0000 0.0000 0.0000
Be 2.2338 2.2338 2.2338
Au 0.0000 2.2338 2.2338
Au 2.2338 0.0000 2.2338
Au 2.2338 2.2338 0.0000
```

Values from the calculation:
- Energy above the lowest structure with this stoichiometry: 0 meV/atom

=====

Record 7
Below is a relaxed structure of La7Sm2Y2, with properties calculated at the PBE-GGA level.

```
11
Lattice="8.7888 -5.9902 0.0000 8.7888 5.9902 0.0000 -0.4895 0.0000 3.7262" Properties=species:S:1:pos:R:3 pbc="T T T"
La 0.0000 0.0000 0.0000
La 5.4651 2.9832 3.0842
La 6.8286 0.0000 0.9652
La 11.6230 2.9832 0.6419
La 5.4651 -2.9832 3.0842
La 10.2595 0.0000 2.7610
La 11.6230 -2.9832 0.6419
Sm 8.5440 2.9886 1.8631
Sm 8.5440 -2.9886 1.8631
Y 3.2679 0.0000 2.4739
Y 13.8201 0.0000 1.2522
```

Values from the calculation:
- Energy above the lowest structure with this stoichiometry: 0 meV/atom

=====

Record 8
Below is a relaxed structure of Rb2TaCr2S6, with properties calculated at the PBE-GGA level.

```
11
Lattice="3.0409 -5.2885 0.0000 3.0409 5.2885 0.0000 -1.9724 0.0000 7.8483" Properties=species:S:1:pos:R:3 pbc="T T T"
Rb 3.0409 3.5467 0.0000
Rb 3.0409 -3.5467 0.0000
Ta -0.9862 0.0000 3.9241
Cr 2.0548 1.7646 3.9241
Cr 2.0548 -1.7646 3.9241
S 0.0578 1.7954 5.2904
S 1.1064 0.0000 2.5522
S 0.0578 -1.7954 5.2904
S 4.0518 1.7954 2.5578
S 3.0031 0.0000 5.2960
S 4.0518 -1.7954 2.5578
```

Values from the calculation:
- Formation energy without anion corrections: -945 meV per atom

=====

Record 9
Below is a relaxed structure of UMnPH, with properties calculated at the PBE-GGA level.

```
4
Lattice="4.0274 0.0000 0.0000 -2.0137 3.4878 0.0000 0.0000 0.0000 3.5800" Properties=species:S:1:pos:R:3 pbc="T T T"
U 0.0000 0.0000 0.0000
Mn 2.0137 1.1626 1.7900
P 0.0000 2.3252 1.7900
H 2.0137 1.1626 0.0000
```

=====

Record 10
Below is a relaxed structure of AlTc2Se, with properties calculated at the PBE-GGA level.

```
4
Lattice="2.9971 0.0000 0.0000 0.0000 2.9971 0.0000 0.0000 0.0000 7.5365" Properties=species:S:1:pos:R:3 pbc="T T T"
Al 0.0000 0.0000 0.0000
Tc 0.0000 0.0000 4.3656
Tc 1.4986 1.4986 6.0920
Se 1.4986 1.4986 2.8638
```

Values from the calculation:
- Formation energy without anion corrections: -83 meV per atom
- Energy above the lowest structure with this stoichiometry: 0 meV/atom

=====

Record 11
Below is a relaxed structure of Zr2CrInH, with properties calculated at the PBE-GGA level.

```
5
Lattice="4.6555 0.0000 0.0000 0.0000 4.6555 0.0000 0.0000 0.0000 3.6792" Properties=species:S:1:pos:R:3 pbc="T T T"
Zr 0.0000 2.3277 0.0000
Zr 2.3277 0.0000 0.0000
Cr 0.0000 0.0000 1.8396
In 2.3277 2.3277 1.8396
H 0.0000 0.0000 0.0000
```

=====

Record 12
Below is a relaxed structure of TaAs2Ir, with properties calculated at the PBE-GGA level.

```
4
Lattice="1.4954 0.8634 8.4534 -1.4954 0.8634 8.4534 0.0000 -1.7268 8.4534" Properties=species:S:1:pos:R:3 pbc="T T T"
Ta 0.0000 0.0000 0.0000
As 0.0000 0.0000 6.2487
As 0.0000 0.0000 19.1115
Ir 0.0000 0.0000 12.6801
```

Values from the calculation:
- Energy above the lowest structure with this stoichiometry: 319 meV/atom

=====

Record 13
Below is a relaxed structure of SrUSeO2, with properties calculated at the PBE-GGA level.

```
5
Lattice="4.2819 0.0000 0.0000 0.0000 4.2819 0.0000 0.0000 0.0000 6.0358" Properties=species:S:1:pos:R:3 pbc="T T T"
Sr 0.0000 0.0000 0.0000
U 2.1410 2.1410 2.1028
Se 2.1410 2.1410 5.0033
O 0.0000 2.1410 1.6350
O 2.1410 0.0000 1.6350
```

Values from the calculation:
- Formation energy without anion corrections: -2632 meV per atom

=====

Record 14
Below is a relaxed structure of Sm2Er3Se6, with properties calculated at the PBE-GGA level.

```
11
Lattice="3.5357 -6.0922 0.0000 3.5357 6.0922 0.0000 -2.3502 0.0000 6.6865" Properties=species:S:1:pos:R:3 pbc="T T T"
Sm 3.5357 4.0833 0.0000
Sm 3.5357 -4.0833 0.0000
Er -1.1751 0.0000 3.3432
Er 2.3606 2.0227 3.3432
Er 2.3606 -2.0227 3.3432
Se 0.0286 1.9938 4.9652
Se 1.2372 0.0000 1.7010
Se 0.0286 -1.9938 4.9652
Se 4.6927 1.9938 1.7213
Se 3.4841 0.0000 4.9854
Se 4.6927 -1.9938 1.7213
```

Values from the calculation:
- Formation energy without anion corrections: -1857 meV per atom

=====

Record 15
Below is a relaxed structure of Ce4PuCo, with properties calculated at the PBE-GGA level.

```
24
Lattice="6.5554 0.0000 0.0000 0.0000 8.8664 0.0000 -5.7784 0.0000 9.7747" Properties=species:S:1:pos:R:3 pbc="T T T"
Ce -1.9558 0.6864 3.5774
Ce -4.8449 3.7468 8.4647
Ce -3.0241 2.0561 6.6095
Ce -0.1349 2.3771 1.7221
Ce -2.0384 5.2077 6.4415
Ce 0.8507 8.0919 1.5542
Ce 0.5110 6.1533 4.3175
Ce -2.3782 7.1463 9.2048
Ce 3.1552 1.7201 0.5699
Ce 0.2660 2.7131 5.4573
Ce -0.0738 0.7745 8.2206
Ce 2.8154 3.6587 3.3332
Ce 0.9119 6.4893 8.0526
Ce 3.8011 6.8104 3.1653
Ce 5.6219 5.1196 1.3100
Ce 2.7327 8.1801 6.1974
Pu 1.9552 5.0641 1.0621
Pu -0.9340 8.2356 5.9495
Pu 1.7110 0.6308 3.8253
Pu -1.1782 3.8024 8.7126
Co -4.2131 0.6931 8.9789
Co -1.3240 3.7401 4.0915
Co 2.1009 5.1263 5.6832
Co 4.9901 8.1733 0.7958
```

=====

Record 16
Below is a relaxed structure of HfZr2Os2, with properties calculated at the PBE-GGA level.

```
10
Lattice="7.4863 0.0000 0.0000 0.0000 7.4863 0.0000 0.0000 0.0000 3.4589" Properties=species:S:1:pos:R:3 pbc="T T T"
Hf 0.0000 0.0000 0.0000
Hf 3.7431 3.7431 0.0000
Zr 1.2129 2.5302 1.7294
Zr 2.5302 6.2734 1.7294
Zr 4.9561 1.2129 1.7294
Zr 6.2734 4.9561 1.7294
Os 1.0445 4.7876 0.0000
Os 2.6987 1.0445 0.0000
Os 4.7876 6.4418 0.0000
Os 6.4418 2.6987 0.0000
```

Values from the calculation:
- Energy above the lowest structure with this stoichiometry: 149 meV/atom

=====

Record 17
Below is a relaxed structure of Ta2AlCu, with properties calculated at the PBE-GGA level.

```
4
Lattice="5.0941 -1.4971 0.0000 5.0941 1.4971 0.0000 -2.1114 0.0000 4.1964" Properties=species:S:1:pos:R:3 pbc="T T T"
Ta 0.0000 0.0000 0.0000
Ta 0.7799 0.0000 3.1651
Al 3.7340 0.0000 1.9354
Cu 7.0293 0.0000 1.1493
```

=====

Record 18
Below is a relaxed structure of TaCrN, with properties calculated at the PBE-GGA level.

```
12
Lattice="5.1582 0.0000 0.0000 0.0000 5.1582 0.0000 0.0000 0.0000 5.1582" Properties=species:S:1:pos:R:3 pbc="T T T"
Ta 0.7920 0.7920 0.7920
Ta 1.7871 4.3662 3.3711
Ta 3.3711 1.7871 4.3662
Ta 4.3662 3.3711 1.7871
Cr 0.7589 1.8202 3.3381
Cr 1.8202 3.3381 0.7589
Cr 3.3381 0.7589 1.8202
Cr 4.3993 4.3993 4.3993
N 0.0795 2.6586 5.0787
N 2.4996 2.4996 2.4996
N 2.6586 5.0787 0.0795
N 5.0787 0.0795 2.6586
```

Values from the calculation:
- Formation energy without anion corrections: -373 meV per atom

=====

Record 19
Below is a relaxed structure of TaNiOs, with properties calculated at the PBE-GGA level.

```
6
Lattice="3.9416 -2.4188 0.0000 3.9416 2.4188 0.0000 -3.7262 0.0000 4.6460" Properties=species:S:1:pos:R:3 pbc="T T T"
Ta 0.0000 0.0000 0.0000
Ta 2.0785 -1.0659 2.3230
Ni 0.7876 1.1616 2.5181
Ni 3.3694 1.1616 2.1279
Os -1.0745 -0.0433 4.3369
Os 5.2315 -0.0433 0.3091
```

Values from the calculation:
- Energy above the lowest structure with this stoichiometry: 219 meV/atom

=====

Record 20
Below is a relaxed structure of HfV2Fe, with properties calculated at the PBE-GGA level.

```
4
Lattice="2.9753 0.0000 0.0000 0.0000 2.9753 0.0000 0.0000 0.0000 6.6775" Properties=species:S:1:pos:R:3 pbc="T T T"
Hf 0.0000 0.0000 0.0000
V 1.4876 1.4876 1.9453
V 1.4876 1.4876 4.7322
Fe 0.0000 0.0000 3.3388
```

Values from the calculation:
- Energy above the lowest structure with this stoichiometry: 23 meV/atom

=====

Record 21
Below is a relaxed structure of ErSn3Au6, with properties calculated at the PBE-GGA level.

```
10
Lattice="6.3145 3.6457 1.6938 -6.3145 3.6457 1.6938 0.0000 -7.2914 1.6938" Properties=species:S:1:pos:R:3 pbc="T T T"
Er 0.0000 0.0000 0.0000
Sn 0.0000 -4.3690 2.6941
Sn -3.7837 2.1845 2.6941
Sn 3.7837 2.1845 2.6941
Au -3.6699 -2.1188 3.4628
Au 0.0000 -1.6690 2.6290
Au -1.4454 0.8345 2.6290
Au 1.4454 0.8345 2.6290
Au 3.6699 -2.1188 3.4628
Au 0.0000 4.2376 3.4628
```

=====

Record 22
Below is a relaxed structure of HfZrC2, with properties calculated at the PBE-GGA level.

```
4
Lattice="0.0000 2.9155 2.9155 2.9155 0.0000 2.9155 2.9155 2.9155 0.0000" Properties=species:S:1:pos:R:3 pbc="T T T"
Hf 0.0000 0.0000 0.0000
Zr 2.9155 2.9155 2.9155
C 1.4577 1.4577 1.4577
C 4.3732 4.3732 4.3732
```

Values from the calculation:
- Energy above the lowest structure with this stoichiometry: 1286 meV/atom

=====

Record 23
Below is a relaxed structure of CrCo2Ni9, with properties calculated at the PBE-GGA level.

```
12
Lattice="3.5242 0.0000 0.0000 0.0000 3.5242 0.0000 0.0000 0.0000 10.6116" Properties=species:S:1:pos:R:3 pbc="T T T"
Cr 0.0000 0.0000 0.0000
Co 0.0000 0.0000 3.5590
Co 0.0000 0.0000 7.0527
Ni 0.0000 1.7621 1.7778
Ni 0.0000 1.7621 5.3058
Ni 0.0000 1.7621 8.8339
Ni 1.7621 0.0000 1.7778
Ni 1.7621 0.0000 5.3058
Ni 1.7621 0.0000 8.8339
Ni 1.7621 1.7621 0.0000
Ni 1.7621 1.7621 3.5439
Ni 1.7621 1.7621 7.0677
```

=====

Record 24
Below is a relaxed structure of CaSi2Ni2, with properties calculated at the PBE-GGA level.

```
10
Lattice="7.3138 0.0000 0.0000 0.0000 7.3138 0.0000 0.0000 0.0000 2.6383" Properties=species:S:1:pos:R:3 pbc="T T T"
Ca 0.0000 0.0000 0.0000
Ca 3.6569 3.6569 0.0000
Si 0.9834 2.6735 0.0000
Si 2.6735 6.3304 0.0000
Si 4.6403 0.9834 0.0000
Si 6.3304 4.6403 0.0000
Ni 1.0936 4.7505 1.3192
Ni 2.5633 1.0936 1.3192
Ni 4.7505 6.2202 1.3192
Ni 6.2202 2.5633 1.3192
```

Values from the calculation:
- Formation energy without anion corrections: -264 meV per atom

=====

Uncorrected energy (eV per cell)
-25.60; -18.25; -63.93; -20.28; -33.10; -22.64; -55.77; -68.20; -31.89; -28.29; -33.41; -29.59; -39.53; -64.46; -181.03; -101.08; -31.73; -123.69; -58.47; -36.51; -38.76; -35.30; -75.60; -51.46